Entry 1:
A relaxed structure of CdTcI2. Source: Alexandria via LeMat-Bulk, functional PBE.

a b c (Å): 9.4672 9.4672 5.5615
angles (deg): 90.00 90.00 90.00
Last column: nearest neighbours and their distance in Å.
Space group I-42d (No. 122)
Symmetry-distinct sites (fractional):
Cd  0.0000  0.0000  0.0000 x4  2 Tc 2.78
Tc  0.0000  0.0000  0.5000 x4  4 I 2.67, 2 Cd 2.78
I  0.1072  0.2500  0.6250 x8  2 Tc 2.67

## Properties
Energy relative to the lowest polymorph listed for this composition in kJ per mole of atoms: 0.0
Total moment in μB per cell: 0.00
Formation energy without anion corrections in meV/atom: 317
Final energy in eV per atom: -3.278
Volume in Å³ per cell: 498


Entry 2:
A relaxed structure of CdTc2I. Source: Alexandria via LeMat-Bulk, functional PBE.

a b c (Å): 6.5426 6.5426 6.5426
angles (deg): 90.00 90.00 90.00
Last column: nearest neighbours and their distance in Å.
Space group Fm-3m (No. 225)
Symmetry-distinct sites (fractional):
Cd  0.0000  0.0000  0.0000 x4  8 Tc 2.83
Tc  0.2500  0.2500  0.2500 x8  4 Cd 2.83, 4 I 2.83
I  0.0000  0.0000  0.5000 x4  8 Tc 2.83

## Properties
Energy relative to the lowest polymorph listed for this composition in kJ per mole of atoms: 0.0
Total moment in μB per cell: 0.00
Formation energy without anion corrections in meV/atom: 960
Final energy in eV per atom: -4.839
Volume in Å³ per cell: 280


Entry 3:
A relaxed structure of CdTcI2. Source: Alexandria via LeMat-Bulk, functional PBE.

a b c (Å): 7.2375 7.2375 7.2375
angles (deg): 90.00 90.00 90.00
Last column: nearest neighbours and their distance in Å.
Space group Fm-3m (No. 225)
Symmetry-distinct sites (fractional):
Cd  0.0000  0.0000  0.0000 x4  8 I 3.13
Tc  0.0000  0.0000  0.5000 x4  8 I 3.13
I  0.2500  0.2500  0.2500 x8  4 Cd 3.13, 4 Tc 3.13

## Properties
Energy relative to the lowest polymorph listed for this composition in kJ per mole of atoms: 54.1
Total moment in μB per cell: 0.00
Formation energy without anion corrections in meV/atom: 878
Final energy in eV per atom: -2.717
Volume in Å³ per cell: 379


Entry 4:
A relaxed structure of CdTc3I. Source: Alexandria via LeMat-Bulk, functional PBE.

a b c (Å): 4.8336 4.8336 4.8336
angles (deg): 90.00 90.00 90.00
Last column: nearest neighbours and their distance in Å.
Space group Pm-3m (No. 221)
Symmetry-distinct sites (fractional):
Cd  0.0000  0.0000  0.0000 x1  12 Tc 3.42
Tc  0.0000  0.5000  0.5000 x3  2 I 2.42
I  0.5000  0.5000  0.5000 x1  6 Tc 2.42

## Properties
Energy relative to the lowest polymorph listed for this composition in kJ per mole of atoms: 0.0
Total moment in μB per cell: 2.71
Formation energy without anion corrections in meV/atom: 1822
Final energy in eV per atom: -4.891
Volume in Å³ per cell: 113


Entry 5:
A relaxed structure of Cd2TcI8. Source: Alexandria via LeMat-Bulk, functional PBE.

a b c (Å): 16.1404 8.4769 7.1880
angles (deg): 90.00 92.79 90.00
Last column: nearest neighbours and their distance in Å.
Space group C2/m (No. 12)
Symmetry-distinct sites (fractional):
Cd  0.1610  0.0000  0.4445 x4  4 I 2.72-2.92
Tc  0.0000  0.0000  0.0000 x2  6 I 2.76-2.77
I  0.0585  0.2320  0.2406 x8  1 Tc 2.76, 1 Cd 2.92
I  0.1530  0.0000  0.8407 x4  1 Tc 2.77, 1 Cd 2.86
I  0.1760  0.5000  0.6364 x4  1 Cd 2.72

## Properties
Total moment in μB per cell: 5.99
Formation energy without anion corrections in meV/atom: -298
Final energy in eV per atom: -2.534
Volume in Å³ per cell: 982


Entry 6:
A relaxed structure of CdTc2I. Source: Alexandria via LeMat-Bulk, functional PBE.

a b c (Å): 7.4879 7.4879 5.8210
angles (deg): 90.00 90.00 90.00
Last column: nearest neighbours and their distance in Å.
Space group I-42d (No. 122)
Symmetry-distinct sites (fractional):
Cd  0.0000  0.0000  0.0000 x4  2 I 2.91, 4 Tc 2.97
Tc  0.2082  0.2500  0.6250 x8  2 I 2.54
I  0.0000  0.0000  0.5000 x4  4 Tc 2.54

## Properties
Energy relative to the lowest polymorph listed for this composition in kJ per mole of atoms: 37.2
Total moment in μB per cell: 4.36
Formation energy without anion corrections in meV/atom: 1346
Final energy in eV per atom: -4.453
Volume in Å³ per cell: 326